No. 1
A relaxed structure of Tb12CeDy3, computed with PBE.

a b c (Å): 5.0285 5.0285 20.1066
angles (deg): 90.00 90.00 90.00
Last column: nearest neighbours and their distance in Å.
Element x y z (fractional)
Tb  0.0000  0.0000  0.0000  4 Dy 3.56, 8 Tb 3.56
Tb  0.0000  0.0000  0.2488  8 Tb 3.53-3.58, 4 Dy 3.56
Tb  0.0000  0.0000  0.5000  8 Tb 3.54, 4 Ce 3.56
Tb  0.0000  0.0000  0.7512  8 Tb 3.53-3.58, 4 Dy 3.56
Tb  0.0000  0.5000  0.1253  8 Tb 3.53-3.56, 4 Dy 3.56
Tb  0.0000  0.5000  0.3759  8 Tb 3.54-3.58, 2 Ce 3.54, 2 Dy 3.56
Tb  0.0000  0.5000  0.6241  8 Tb 3.54-3.58, 2 Ce 3.54, 2 Dy 3.56
Tb  0.0000  0.5000  0.8747  8 Tb 3.53-3.56, 4 Dy 3.56
Tb  0.5000  0.0000  0.1253  8 Tb 3.53-3.56, 4 Dy 3.56
Tb  0.5000  0.0000  0.3759  8 Tb 3.54-3.58, 2 Ce 3.54, 2 Dy 3.56
Tb  0.5000  0.0000  0.6241  8 Tb 3.54-3.58, 2 Ce 3.54, 2 Dy 3.56
Tb  0.5000  0.0000  0.8747  8 Tb 3.53-3.56, 4 Dy 3.56
Ce  0.5000  0.5000  0.5000  12 Tb 3.54-3.56
Dy  0.5000  0.5000  0.0000  12 Tb 3.56
Dy  0.5000  0.5000  0.2508  12 Tb 3.56
Dy  0.5000  0.5000  0.7492  12 Tb 3.56

No. 2
A relaxed structure of Cs6CdS4, computed with PBE.

a b c (Å): 10.8667 10.8667 8.5281
angles (deg): 90.00 90.00 120.00
Last column: nearest neighbours and their distance in Å.
Element x y z (fractional)
Cs  0.0642  0.5321  0.0000  5 S 3.54-3.76, 1 Cd 3.86, 2 Cs 3.92
Cs  0.1467  0.2934  0.6735  4 S 3.41-3.52
Cs  0.1467  0.8533  0.6735  4 S 3.41-3.52
Cs  0.2934  0.1467  0.1735  4 S 3.41-3.52
Cs  0.4679  0.5321  0.0000  5 S 3.54-3.76, 1 Cd 3.86, 2 Cs 3.92
Cs  0.4679  0.9358  0.0000  5 S 3.54-3.76, 1 Cd 3.86, 2 Cs 3.92
Cs  0.5321  0.0642  0.5000  5 S 3.54-3.76, 1 Cd 3.86, 2 Cs 3.92
Cs  0.5321  0.4679  0.5000  5 S 3.54-3.76, 1 Cd 3.86, 2 Cs 3.92
Cs  0.7066  0.8533  0.6735  4 S 3.41-3.52
Cs  0.8533  0.1467  0.1735  4 S 3.41-3.52
Cs  0.8533  0.7066  0.1735  4 S 3.41-3.52
Cs  0.9358  0.4679  0.5000  5 S 3.54-3.76, 1 Cd 3.86, 2 Cs 3.92
Cd  0.3333  0.6667  0.3877  4 S 2.65-2.66
Cd  0.6667  0.3333  0.8877  4 S 2.65-2.66
S  0.1992  0.3985  0.2906  1 Cd 2.66
S  0.1992  0.8008  0.2906  1 Cd 2.66
S  0.3333  0.6667  0.6982  1 Cd 2.65
S  0.3985  0.1992  0.7906  1 Cd 2.66
S  0.6015  0.8008  0.2906  1 Cd 2.66
S  0.6667  0.3333  0.1982  1 Cd 2.65
S  0.8008  0.1992  0.7906  1 Cd 2.66
S  0.8008  0.6015  0.7906  1 Cd 2.66

No. 3
A relaxed structure of PrNd12Sc3, computed with PBE.

a b c (Å): 5.0933 5.0933 20.3735
angles (deg): 90.00 90.00 90.00
Last column: nearest neighbours and their distance in Å.
Element x y z (fractional)
Pr  0.0000  0.0000  0.0000  12 Nd 3.60-3.69
Nd  0.0000  0.5000  0.1310  2 Sc 3.57, 8 Nd 3.58-3.69, 2 Pr 3.69
Nd  0.0000  0.5000  0.3771  8 Nd 3.56-3.60, 4 Sc 3.57
Nd  0.0000  0.5000  0.6229  8 Nd 3.56-3.60, 4 Sc 3.57
Nd  0.0000  0.5000  0.8690  2 Sc 3.57, 8 Nd 3.58-3.69, 2 Pr 3.69
Nd  0.5000  0.0000  0.1310  2 Sc 3.57, 8 Nd 3.58-3.69, 2 Pr 3.69
Nd  0.5000  0.0000  0.3771  8 Nd 3.56-3.60, 4 Sc 3.57
Nd  0.5000  0.0000  0.6229  8 Nd 3.56-3.60, 4 Sc 3.57
Nd  0.5000  0.0000  0.8690  2 Sc 3.57, 8 Nd 3.58-3.69, 2 Pr 3.69
Nd  0.5000  0.5000  0.0000  4 Pr 3.60, 8 Nd 3.69
Nd  0.5000  0.5000  0.2548  8 Nd 3.56-3.58, 4 Sc 3.60
Nd  0.5000  0.5000  0.5000  8 Nd 3.57, 4 Sc 3.60
Nd  0.5000  0.5000  0.7452  8 Nd 3.56-3.58, 4 Sc 3.60
Sc  0.0000  0.0000  0.2540  12 Nd 3.57-3.60
Sc  0.0000  0.0000  0.5000  12 Nd 3.57-3.60
Sc  0.0000  0.0000  0.7460  12 Nd 3.57-3.60

No. 4
A relaxed structure of CaLa2InS, computed with PBE.

a b c (Å): 5.5357 5.5357 5.2921
angles (deg): 90.00 90.00 90.00
Last column: nearest neighbours and their distance in Å.
Element x y z (fractional)
Ca  0.0000  0.0000  0.0000  2 S 2.65
La  0.0000  0.5000  0.5000  2 S 2.77
La  0.5000  0.0000  0.5000  2 S 2.77
In  0.5000  0.5000  0.0000  8 La 3.83, 4 Ca 3.91
S  0.0000  0.0000  0.5000  2 Ca 2.65, 4 La 2.77

No. 5
A relaxed structure of Dy2TmPu, computed with PBE.

a b c (Å): 4.9407 4.9407 4.9313
angles (deg): 90.00 90.00 90.00
Last column: nearest neighbours and their distance in Å.
Element x y z (fractional)
Dy  0.0000  0.5000  0.0000  4 Pu 3.49, 4 Tm 3.49, 4 Dy 3.49
Dy  0.5000  0.0000  0.0000  4 Pu 3.49, 4 Tm 3.49, 4 Dy 3.49
Tm  0.0000  0.0000  0.5000  8 Dy 3.49, 4 Pu 3.49
Pu  0.5000  0.5000  0.5000  8 Dy 3.49, 4 Tm 3.49

No. 6
A relaxed structure of Cs2Li3IrF12, computed with PBE.

a b c (Å): 7.8171 7.8171 7.8171
angles (deg): 54.82 54.82 54.82
Last column: nearest neighbours and their distance in Å.
Element x y z (fractional)
Cs  0.1005  0.1005  0.1005  3 F 3.00
Cs  0.8995  0.8995  0.8995  3 F 3.00
Li  0.0000  0.5000  0.5000  4 F 1.93
Li  0.5000  0.0000  0.5000  4 F 1.93
Li  0.5000  0.5000  0.0000  4 F 1.93
Ir  0.5000  0.5000  0.5000  6 F 1.91
F  0.1836  0.1836  0.5675  2 Li 1.93
F  0.1836  0.5675  0.1836  2 Li 1.93
F  0.1921  0.5737  0.5737  1 Ir 1.91
F  0.4263  0.4263  0.8079  1 Ir 1.91
F  0.4263  0.8079  0.4263  1 Ir 1.91
F  0.4325  0.8164  0.8164  2 Li 1.93
F  0.5675  0.1836  0.1836  2 Li 1.93
F  0.5737  0.1921  0.5737  1 Ir 1.91
F  0.5737  0.5737  0.1921  1 Ir 1.91
F  0.8079  0.4263  0.4263  1 Ir 1.91
F  0.8164  0.4325  0.8164  2 Li 1.93
F  0.8164  0.8164  0.4325  2 Li 1.93

No. 7
A relaxed structure of Pm2Er5Tm4, computed with PBE.

a b c (Å): 3.5253 8.6320 11.6853
angles (deg): 75.71 81.35 89.96
Last column: nearest neighbours and their distance in Å.
Element x y z (fractional)
Pm  0.0905  0.2273  0.3180  2 Pm 3.53, 5 Er 3.53-3.54, 5 Tm 3.53-3.55
Pm  0.9095  0.7727  0.6820  2 Pm 3.53, 5 Er 3.53-3.54, 5 Tm 3.53-3.55
Er  0.0000  0.5000  0.5000  4 Tm 3.51, 6 Er 3.53, 2 Pm 3.53
Er  0.2721  0.6828  0.9558  3 Tm 3.50-3.52, 7 Er 3.50-3.55, 2 Pm 3.53-3.54
Er  0.3632  0.4072  0.7734  3 Tm 3.48-3.51, 7 Er 3.50-3.55, 2 Pm 3.54
Er  0.6368  0.5928  0.2266  3 Tm 3.48-3.51, 7 Er 3.50-3.55, 2 Pm 3.54
Er  0.7279  0.3172  0.0442  3 Tm 3.50-3.52, 7 Er 3.50-3.55, 2 Pm 3.53-3.54
Tm  0.1820  0.9538  0.1357  5 Er 3.50-3.52, 6 Tm 3.51-3.53, 1 Pm 3.53
Tm  0.4534  0.1382  0.5932  3 Er 3.48-3.51, 5 Tm 3.51-3.59, 4 Pm 3.53-3.55
Tm  0.5466  0.8618  0.4068  3 Er 3.48-3.51, 5 Tm 3.51-3.59, 4 Pm 3.53-3.55
Tm  0.8180  0.0462  0.8643  5 Er 3.50-3.52, 6 Tm 3.51-3.53, 1 Pm 3.53

No. 8
A relaxed structure of KNpAsO5, computed with PBE.

a b c (Å): 6.4392 6.4392 8.3520
angles (deg): 106.56 106.56 103.23
Last column: nearest neighbours and their distance in Å.
Element x y z (fractional)
K  0.0721  0.9279  0.7500  6 O 2.71-2.86
K  0.9279  0.0721  0.2500  6 O 2.71-2.86
Np  0.0000  0.5000  0.0000  2 O 1.89
Np  0.5000  0.0000  0.5000  2 O 1.89
As  0.4334  0.5666  0.7500  2 O 1.74
As  0.5666  0.4334  0.2500  2 O 1.74
O  0.1347  0.2816  0.0487  1 Np 1.89
O  0.2382  0.7618  0.2500  2 Np 2.13
O  0.2469  0.6033  0.8630  1 As 1.74
O  0.2816  0.1347  0.5487  1 Np 1.89
O  0.3967  0.7531  0.6370  1 As 1.74
O  0.6033  0.2469  0.3630  1 As 1.74
O  0.7184  0.8653  0.4513  1 Np 1.89
O  0.7531  0.3967  0.1370  1 As 1.74
O  0.7618  0.2382  0.7500  2 Np 2.13
O  0.8653  0.7184  0.9513  1 Np 1.89

No. 9
A relaxed structure of ZnInTe2, computed with PBE.

a b c (Å): 4.4107 4.4107 5.9539
angles (deg): 90.00 90.00 90.00
Last column: nearest neighbours and their distance in Å.
Element x y z (fractional)
Zn  0.0000  0.0000  0.0000  4 In 3.12
In  0.5000  0.5000  0.0000  4 Zn 3.12
Te  0.0000  0.5000  0.5000  4 Te 3.12
Te  0.5000  0.0000  0.5000  4 Te 3.12

No. 10
A relaxed structure of PmPrPd6, computed with PBE.

a b c (Å): 5.3818 5.3818 5.3818
angles (deg): 90.00 90.00 90.00
Last column: nearest neighbours and their distance in Å.
Element x y z (fractional)
Pm  0.0000  0.0000  0.0000  12 Pd 3.01
Pr  0.5000  0.5000  0.5000  12 Pd 3.01
Pd  0.0000  0.2491  0.5000  2 Pd 2.68-2.70
Pd  0.0000  0.7509  0.5000  2 Pd 2.68-2.70
Pd  0.2491  0.5000  0.0000  2 Pd 2.68-2.70
Pd  0.5000  0.0000  0.2491  2 Pd 2.68-2.70
Pd  0.5000  0.0000  0.7509  2 Pd 2.68-2.70
Pd  0.7509  0.5000  0.0000  2 Pd 2.68-2.70

No. 11
A relaxed structure of Ca4CuHg, computed with PBE.

a b c (Å): 3.7453 3.7453 13.0064
angles (deg): 90.00 90.00 90.00
Last column: nearest neighbours and their distance in Å.
Element x y z (fractional)
Ca  0.0000  0.0000  0.1301  4 Cu 3.14, 1 Ca 3.38
Ca  0.0000  0.0000  0.8699  4 Cu 3.14, 1 Ca 3.38
Ca  0.5000  0.5000  0.3569  4 Hg 3.24
Ca  0.5000  0.5000  0.6431  4 Hg 3.24
Cu  0.5000  0.5000  0.0000  8 Ca 3.14
Hg  0.0000  0.0000  0.5000  8 Ca 3.24

No. 12
A relaxed structure of NdAl2Cu5, computed with PBE.

a b c (Å): 6.2915 6.2915 6.2915
angles (deg): 143.69 115.77 76.07
Last column: nearest neighbours and their distance in Å.
Element x y z (fractional)
Nd  0.0000  0.0000  0.0000  10 Cu 3.16-3.34, 4 Al 3.20
Al  0.2558  0.7558  0.5000  7 Cu 2.42-2.58
Al  0.7442  0.2442  0.5000  7 Cu 2.42-2.58
Cu  0.1867  0.3701  0.8166  4 Cu 2.45-2.65, 3 Al 2.46-2.58
Cu  0.4465  0.6299  0.8166  4 Cu 2.45-2.65, 3 Al 2.46-2.58
Cu  0.5000  0.0000  0.5000  2 Al 2.42, 8 Cu 2.65
Cu  0.5535  0.3701  0.1834  4 Cu 2.45-2.65, 3 Al 2.46-2.58
Cu  0.8133  0.6299  0.1834  4 Cu 2.45-2.65, 3 Al 2.46-2.58

Going through the records in order, we get uncorrected energy values of -74.84 -67.43 -80.43 -23.38 -27.47 -76.24 -49.94 -120.73 -9.80 -45.13 -13.70 -34.22 eV/cell.